The following is a GGA-PBE calculation of crystalline TbPr3Tm at its relaxed geometry, from the Alexandria database.

- Size of the total moment: 0.000 μB per formula unit
- Total DFT energy (no corrections): -4.62 eV per atom
- Space-group type: No. 11
- V: 34.186 Å³/atom
- DFT formation energy: 0.07 eV per atom

Unit cell a=5.5412 b=7.1365 c=9.0759 alpha=90.00 beta=107.73 gamma=90.00
Atoms (fractional coordinates):
1 Tb 0.1982 0.2500 0.3963
2 Tb 0.8018 0.7500 0.6037
3 Pr 0.1971 0.7500 0.3942
4 Pr 0.3946 0.5035 0.7892
5 Pr 0.3946 0.9965 0.7892
6 Pr 0.6054 0.0035 0.2108
7 Pr 0.6054 0.4965 0.2108
8 Pr 0.8029 0.2500 0.6058
9 Tm 0.0010 0.2500 0.0020
10 Tm 0.9990 0.7500 0.9980